Record 1
! NaU2BeO8 PBE-GGA optimized geometry; values from VASP
&SYSTEM
  ibrav = 0, nat = 12, ntyp = 4
/
ATOMIC_SPECIES
O 16.00 O.upf
U 238.03 U.upf
Na 22.99 Na.upf
Be 9.01 Be.upf
CELL_PARAMETERS angstrom
-1.965 -3.263 2.791
1.668 -3.724 -2.376
5.621 -0.004 3.952
ATOMIC_POSITIONS crystal
O 0.190 0.809 0.204
O 0.313 0.312 0.000
O 0.325 0.324 0.500
O 0.810 0.190 0.204
O 0.687 0.688 0.000
O 0.675 0.676 0.500
O 0.810 0.191 0.796
O 0.190 0.810 0.796
U 0.500 0.500 0.244
U 0.500 0.500 0.756
Na 0.000 0.000 0.500
Be 0.000 0.000 0.000
! Crystal system: orthorhombic
! Formation energy from raw total energies, kcal/mol of atoms: -57.48

Record 2
! BeAsPb2 PBE-GGA optimized geometry; values from VASP
&SYSTEM
  ibrav = 0, nat = 4, ntyp = 3
/
ATOMIC_SPECIES
Pb 207.20 Pb.upf
Be 9.01 Be.upf
As 74.92 As.upf
CELL_PARAMETERS angstrom
-2.751 3.779 3.542
-5.782 -0.976 0.074
5.206 -2.419 1.198
ATOMIC_POSITIONS crystal
Pb 0.052 0.052 0.000
Pb 0.747 0.247 0.500
Be 0.290 0.790 0.500
As 0.412 0.412 0.000
! Formation energy from the elements, eV/f.u.: 0.9
! Crystal system: orthorhombic

Record 3
! Li2CdFe PBE-GGA optimized geometry; values from VASP
&SYSTEM
  ibrav = 0, nat = 4, ntyp = 3
/
ATOMIC_SPECIES
Cd 112.41 Cd.upf
Fe 55.84 Fe.upf
Li 6.94 Li.upf
CELL_PARAMETERS angstrom
-1.330 -2.506 -0.096
1.575 -0.920 2.175
-5.560 2.753 5.190
ATOMIC_POSITIONS crystal
Cd 0.000 0.000 0.509
Fe 0.500 0.500 0.760
Li 0.500 0.500 0.250
Li 0.000 0.000 0.980
! Formation energy from the elements, eV/f.u.: 0.7
! Crystal system: tetragonal